DFT (GGA-PBE) results for a relaxed GdPa2Pd crystal.

Lattice parameters (Å, degrees): 11.5180 11.5180 11.5180 15.78 15.78 15.78
Atoms (fractional coordinates):
Gd  0.0000  0.0000  0.0000
Pa  0.4212  0.4212  0.4212
Pa  0.5788  0.5788  0.5788
Pd  0.5000  0.5000  0.5000

Results
The formation energy from the elements is 0.20 eV/atom. Its crystal system is trigonal. The calculation puts the theoretical density at 12.24 Mg/m³. For the density of states at the Fermi level, the calculation gives 7.649 states/eV/f.u. The calculation puts the spin magnetization at 7.08 μB/f.u.